Entry 1:
## Gd3Zr (GGA-PBE)

Data for a relaxed structure of Gd3Zr.

Lattice parameters (Å, degrees): 5.528 5.528 5.528 60.00 60.00 60.00
Fractional positions:
Gd: 0.000 0.000 0.000
Gd: 0.250 0.250 0.250
Gd: 0.750 0.750 0.750
Zr: 0.500 0.500 0.500

- symmetry = No. 225
- excess energy over the best structure of this formula in the dataset (meV/atom) = 85

***

Entry 2:
## Gd3Zr (GGA-PBE)

Data for a relaxed structure of Gd3Zr.

Lattice parameters (Å, degrees): 3.492 5.564 6.129 90.00 90.00 90.00
Fractional positions:
Gd: 0.000 0.000 0.000
Gd: 0.000 0.500 0.338
Gd: 0.500 0.500 0.814
Zr: 0.500 0.000 0.501

- symmetry = No. 25
- excess energy over the best structure of this formula in the dataset (meV/atom) = 0

***

Entry 3:
## Gd3Zr (GGA-PBE)

Data for a relaxed structure of Gd3Zr.

Lattice parameters (Å, degrees): 5.971 5.971 5.971 131.54 131.32 71.13
Fractional positions:
Gd: 0.000 0.000 0.000
Gd: 0.250 0.750 0.500
Gd: 0.750 0.250 0.500
Zr: 0.500 0.500 0.000

- symmetry = No. 71
- excess energy over the best structure of this formula in the dataset (meV/atom) = 19

***

Entry 4:
## GdZr (GGA-PBE)

Data for a relaxed structure of GdZr.

Lattice parameters (Å, degrees): 3.273 4.874 6.959 90.00 103.42 90.00
Fractional positions:
Gd: 0.078 0.250 0.147
Gd: 0.922 0.750 0.853
Zr: 0.303 0.250 0.608
Zr: 0.697 0.750 0.392

- symmetry = No. 11

***

Entry 5:
## Gd3Zr (GGA-PBE)

Data for a relaxed structure of Gd3Zr.

Lattice parameters (Å, degrees): 4.889 4.889 4.889 90.00 90.00 90.00
Fractional positions:
Gd: 0.000 0.000 0.500
Gd: 0.000 0.500 0.000
Gd: 0.500 0.000 0.000
Zr: 0.500 0.500 0.500

- symmetry = No. 221
- excess energy over the best structure of this formula in the dataset (meV/atom) = 22

***

Entry 6:
## Ge (GGA-PBE)

Data for a relaxed structure of Ge.

Lattice parameters (Å, degrees): 2.881 2.881 2.678 90.00 90.00 120.00
Fractional positions:
Ge: 0.000 0.000 0.000

- symmetry = No. 191
- excess energy over the best structure of this formula in the dataset (meV/atom) = 252

***

| no. | DFT total energy (Ry/atom) | calculated formation energy (eV per atom) | V (Å³/cell) |
| --- | --- | --- | --- |
| 1 | -0.9203 | 0.18 | 119.4 |
| 2 | -0.9265 | 0.09 | 119.1 |
| 3 | -0.9251 | 0.11 | 117.1 |
| 4 | -0.8212 | 0.14 | 108.0 |
| 5 | -0.9249 | 0.11 | 116.9 |
| 6 | -0.3208 | 0.25 | 19.3 |